Material: NaLiCr2Se4
Method: DFT, PBE
State: optimized geometry

Unit cell a=7.5892 b=7.7005 c=10.8118 alpha=90.00 beta=90.00 gamma=90.00
Space group Imma (No. 74)
Asymmetric unit:
Na (0.2500, 0.2500, 0.2500) [4 per cell]
Li (0.0000, 0.0000, 0.0000) [4 per cell]
Cr (0.0000, 0.0000, 0.5000) [4 per cell]
Cr (0.2500, 0.2500, 0.7500) [4 per cell]
Se (0.0000, 0.0287, 0.7400) [8 per cell]
Se (0.2304, 0.2500, 0.5143) [8 per cell]

V   19.75 Å³/atom
E_form (uncorrected)   -0.79 eV/atom
VASP energy   -5.346 eV/atom
Mass density   4.73 g cm⁻³